An optimized crystal structure of CaFe2Ni, computed with PBE.

Lattice parameters (Å, degrees): 7.0350 4.0646 5.5440 90.00 114.94 90.00
Fractional positions:
Ca 0.0000 0.0000 0.0000
Ca 0.5000 0.5000 0.0000
Fe 0.1949 0.0000 0.5853
Fe 0.4826 0.0000 0.4483
Fe 0.6949 0.5000 0.5853
Fe 0.9826 0.5000 0.4483
Ni 0.3091 0.5000 0.4280
Ni 0.8091 0.0000 0.4280

Output
Fermi-level density of states (states/eV per cell): 9.6
VASP energy (Ha/atom): -0.22044
Calculated volume (Å³ per cell): 143.7
Space-group type: No. 8

=====

An optimized crystal structure of LaOs2, computed with PBE.

Lattice parameters (Å, degrees): 5.3687 5.3687 9.2915 90.00 90.00 120.00
Fractional positions:
La 0.3333 0.6667 0.0640
La 0.3333 0.6667 0.4360
La 0.6667 0.3333 0.5640
La 0.6667 0.3333 0.9360
Os 0.0000 0.0000 0.0000
Os 0.0000 0.0000 0.5000
Os 0.1688 0.3375 0.7500
Os 0.1688 0.8312 0.7500
Os 0.3375 0.1688 0.2500
Os 0.6625 0.8312 0.7500
Os 0.8312 0.1688 0.2500
Os 0.8312 0.6625 0.2500

Output
Fermi-level density of states (states/eV per cell): 13.6
VASP energy (Ha/atom): -0.33786
Calculated volume (Å³ per cell): 231.9
Space-group type: No. 194